[1]
An optimized crystal structure of Sm5Y4Sc. Source: Alexandria, functional PBE.

Structure (CIF):
```
data_Sm5Y4Sc
_chemical_formula_sum 'Sm10 Y8 Sc2'
_symmetry_space_group_name_H-M 'I 4 m m'
_symmetry_Int_Tables_number 107
_symmetry_space_group_name_Hall 'I 4 -2'
_cell_length_a 10.562
_cell_length_b 10.562
_cell_length_c 5.914
_cell_angle_alpha 90.00
_cell_angle_beta 90.00
_cell_angle_gamma 90.00
loop_
_atom_site_label
_atom_site_fract_x
_atom_site_fract_y
_atom_site_fract_z
Sm1 0.000 0.000 0.000
Sm2 0.185 0.185 0.289
Y1 0.000 0.322 0.772
Sc1 0.000 0.000 0.537
```

magnetization	0.00	μB/f.u.
theoretical density	5.80	Mg/m³
E above lowest polymorph	1.911	eV per formula unit
formation enthalpy at 0 K	0.22	eV/atom



[2]
An optimized crystal structure of AlGeO2. Source: Alexandria, functional PBE.

Structure (CIF):
```
data_AlGeO2
_chemical_formula_sum 'Al3 Ge3 O6'
_symmetry_space_group_name_H-M 'R -3 m'
_symmetry_Int_Tables_number 166
_symmetry_space_group_name_Hall '-R 3 2"'
_cell_length_a 2.8462
_cell_length_b 2.8462
_cell_length_c 18.6977
_cell_angle_alpha 90.00
_cell_angle_beta 90.00
_cell_angle_gamma 120.00
loop_
_atom_site_label
_atom_site_fract_x
_atom_site_fract_y
_atom_site_fract_z
Al1 0.0000 0.0000 0.0000
Ge1 0.0000 0.0000 0.5000
O1 0.0000 0.0000 0.3858
```

magnetization	0.00	μB/f.u.
theoretical density	5.00	Mg/m³
E above lowest polymorph	0.000	eV per formula unit
energy relative to the elements, uncorrected	-2.08	eV/atom



[3]
An optimized crystal structure of TaMn2Cr. Source: Alexandria, functional PBE.

Structure (CIF):
```
data_TaMn2Cr
_chemical_formula_sum 'Ta4 Mn8 Cr4'
_symmetry_space_group_name_H-M 'I -4 2 d'
_symmetry_Int_Tables_number 122
_symmetry_space_group_name_Hall 'I -4 2bw'
_cell_length_a 6.630
_cell_length_b 6.630
_cell_length_c 5.155
_cell_angle_alpha 90.00
_cell_angle_beta 90.00
_cell_angle_gamma 90.00
loop_
_atom_site_label
_atom_site_fract_x
_atom_site_fract_y
_atom_site_fract_z
Ta1 0.000 0.000 0.000
Mn1 0.214 0.250 0.625
Cr1 0.000 0.000 0.500
```

magnetization	2.75	μB/f.u.
theoretical density	10.05	Mg/m³
formation enthalpy at 0 K	0.52	eV/atom



[4]
An optimized crystal structure of MnCd4As. Source: Alexandria, functional PBE.

Structure (CIF):
```
data_MnCd4As
_chemical_formula_sum 'Mn4 Cd16 As4'
_symmetry_space_group_name_H-M 'F -4 3 m'
_symmetry_Int_Tables_number 216
_symmetry_space_group_name_Hall 'F -4 2 3'
_cell_length_a 8.086
_cell_length_b 8.086
_cell_length_c 8.086
_cell_angle_alpha 90.00
_cell_angle_beta 90.00
_cell_angle_gamma 90.00
loop_
_atom_site_label
_atom_site_fract_x
_atom_site_fract_y
_atom_site_fract_z
Mn1 0.000 0.000 0.000
Cd1 0.125 0.125 0.375
As1 0.250 0.250 0.750
```

magnetization	4.30	μB/f.u.
theoretical density	7.28	Mg/m³
formation enthalpy at 0 K	0.41	eV/atom



[5]
An optimized crystal structure of Mg3Co5H12. Source: Alexandria, functional PBE.

Structure (CIF):
```
data_Mg3Co5H12
_chemical_formula_sum 'Mg24 Co40 H96'
_symmetry_space_group_name_H-M 'I a -3 d'
_symmetry_Int_Tables_number 230
_symmetry_space_group_name_Hall '-I 4bd 2c 3'
_cell_length_a 10.457
_cell_length_b 10.457
_cell_length_c 10.457
_cell_angle_alpha 90.00
_cell_angle_beta 90.00
_cell_angle_gamma 90.00
loop_
_atom_site_label
_atom_site_fract_x
_atom_site_fract_y
_atom_site_fract_z
Mg1 0.000 0.250 0.125
Co1 0.000 0.000 0.000
Co2 0.000 0.250 0.375
H1 0.027 0.055 0.643
```

magnetization	2.88	μB/f.u.
theoretical density	4.41	Mg/m³
calculated total energy	-651.61	eV/cell



[6]
An optimized crystal structure of DyPuGa. Source: Alexandria, functional PBE.

Structure (CIF):
```
data_DyPuGa
_chemical_formula_sum 'Dy1 Pu1 Ga1'
_symmetry_space_group_name_H-M 'P 3 m 1'
_symmetry_Int_Tables_number 156
_cell_length_a 5.0090
_cell_length_b 5.0090
_cell_length_c 3.4032
_cell_angle_alpha 90.00
_cell_angle_beta 90.00
_cell_angle_gamma 120.00
loop_
_symmetry_equiv_pos_as_xyz
'x,y,z'
'-y,x-y,z'
'-x+y,-x,z'
'-y,-x,z'
'-x+y,y,z'
'x,x-y,z'
loop_
_atom_site_label
_atom_site_fract_x
_atom_site_fract_y
_atom_site_fract_z
Dy1 0.0000 0.0000 0.0000
Pu1 0.6667 0.3333 0.4272
Ga1 0.3333 0.6667 0.7203
```

magnetization	5.86	μB/f.u.
theoretical density	10.69	Mg/m³
E above lowest polymorph	0.210	eV per formula unit
formation enthalpy at 0 K	-0.15	eV/atom



[7]
An optimized crystal structure of Sr2PmGeSe5. Source: Alexandria, functional PBE.

Structure (CIF):
```
data_Sr2PmGeSe5
_chemical_formula_sum 'Sr8 Pm4 Ge4 Se20'
_symmetry_space_group_name_H-M 'C m c 21'
_symmetry_Int_Tables_number 36
_cell_length_a 4.378
_cell_length_b 18.771
_cell_length_c 12.562
_cell_angle_alpha 90.00
_cell_angle_beta 90.00
_cell_angle_gamma 90.00
loop_
_symmetry_equiv_pos_as_xyz
'x,y,z'
'-x,-y,z+1/2'
'-x,y,z'
'x,-y,z+1/2'
'x+1/2,y+1/2,z'
'-x+1/2,-y+1/2,z+1/2'
'-x+1/2,y+1/2,z'
'x+1/2,-y+1/2,z+1/2'
loop_
_atom_site_label
_atom_site_fract_x
_atom_site_fract_y
_atom_site_fract_z
Sr1 0.000 0.116 0.000
Sr2 0.000 0.120 0.640
Pm1 0.000 0.209 0.342
Ge1 0.000 0.445 0.760
Se1 0.000 0.044 0.356
Se2 0.000 0.293 0.996
Se3 0.000 0.320 0.682
Se4 0.000 0.360 0.322
Se5 0.000 0.499 0.085
```

magnetization	0.00	μB/f.u.
theoretical density	5.07	Mg/m³
energy relative to the elements, uncorrected	-1.49	eV/atom



[8]
An optimized crystal structure of NaPmIrPb. Source: Alexandria, functional PBE.

Structure (CIF):
```
data_NaPmIrPb
_chemical_formula_sum 'Na4 Pm4 Ir4 Pb4'
_symmetry_space_group_name_H-M 'F -4 3 m'
_symmetry_Int_Tables_number 216
_symmetry_space_group_name_Hall 'F -4 2 3'
_cell_length_a 7.054
_cell_length_b 7.054
_cell_length_c 7.054
_cell_angle_alpha 90.00
_cell_angle_beta 90.00
_cell_angle_gamma 90.00
loop_
_atom_site_label
_atom_site_fract_x
_atom_site_fract_y
_atom_site_fract_z
Na1 0.000 0.000 0.000
Pm1 0.250 0.250 0.750
Ir1 0.000 0.000 0.500
Pb1 0.250 0.250 0.250
```

magnetization	0.00	μB/f.u.
theoretical density	10.74	Mg/m³
formation enthalpy at 0 K	-0.23	eV/atom